This record from Alexandria describes a relaxed CoSbTe2P crystal. The functional is PBE.

The structure belongs to space group P4/mmm (No. 123); the cell edges are 4.9906, 4.9906 and 4.8452 Å and the angles 90.00°, 90.00° and 90.00°. Symmetry generates all atoms from Co at (0.0000, 0.0000, 0.0000), Sb at (0.0000, 0.0000, 0.5000), Te at (0.0000, 0.5000, 0.0000) and P at (0.5000, 0.5000, 0.5000).

The calculation puts the formation energy without anion corrections at 645.4 meV/atom. The magnetic moment comes out at 0.0 Bohr magnetons per cell. The calculated volume comes out at 24.1 Å³ per atom. As for the energy above the most stable polymorph in this dataset: 0.000 eV/atom. For the density of states at the Fermi level, the calculation gives 1.386 states/eV/atom.